This record from Alexandria describes a relaxed TaPt4 crystal. The functional is PBEsol.

Results
M_tot: 0.000 μB per atom
calculated formation energy: 0.33 eV per atom

Cell lengths 4.9972, 4.9972, 4.9972 Å; angles 109.47, 109.47, 109.47 degrees
Sites, in units of the cell vectors:
1 Pt 0.5000 0.0000 0.0000
2 Pt 0.0000 0.5000 0.0000
3 Pt 0.5000 0.5000 0.5000
4 Pt 0.0000 0.0000 0.5000
5 Ta 0.0000 0.0000 0.0000



This record from Alexandria describes a relaxed Hf2PtSeBr crystal. The functional is PBEsol.

Results
formation energy (no corrections): 0.301 eV/atom
M_tot: 0.000 μB per atom

Cell lengths 4.9670, 5.0578, 5.0578 Å; angles 90.00, 90.00, 90.00 degrees
Sites, in units of the cell vectors:
1 Se 0.5000 0.0000 0.0000
2 Br 0.5000 0.5000 0.5000
3 Hf 0.0000 0.5000 0.0000
4 Hf 0.0000 0.0000 0.5000
5 Pt 0.0000 0.0000 0.0000



This record from Alexandria describes a relaxed LiCo2Re crystal. The functional is PBEsol.

Results
M_tot: 0.494 μB per atom
calculated formation energy: 0.18 eV per atom

Cell lengths 4.0065, 4.0065, 4.0065 Å; angles 60.00, 60.00, 60.00 degrees
Sites, in units of the cell vectors:
1 Re 0.5000 0.5000 0.5000
2 Li 0.0000 0.0000 0.0000
3 Co 0.7500 0.7500 0.7500
4 Co 0.2500 0.2500 0.2500



Number 1: electronic total energy -7.75 eV/atom. Number 2: electronic total energy -6.44 eV/atom. Number 3: electronic total energy -7.52 eV/atom.